Below is an optimized crystal structure of ZrIr, with properties calculated at the PBE level.

Energy in eV per cell: -110.3
Formation energy in eV per formula unit: -0.98
Magnetic moment in Bohr magnetons per cell: 0.00

a = 7.4897 Å, b = 7.4897 Å, c = 5.0117 Å
α = 90.00°, β = 90.00°, γ = 120.00°
Closest atoms and distances in Å follow each position.
Sites, in units of the cell vectors:
Zr 0.7804 0.0882 0.2500  5 Ir 2.70-2.85
Zr 0.6922 0.7804 0.7500  5 Ir 2.70-2.85
Zr 0.9118 0.6922 0.2500  5 Ir 2.70-2.85
Zr 0.2196 0.9118 0.7500  5 Ir 2.70-2.85
Zr 0.3078 0.2196 0.2500  5 Ir 2.70-2.85
Zr 0.0882 0.3078 0.7500  5 Ir 2.70-2.85
Ir 0.1176 0.4674 0.2500  5 Zr 2.70-2.85, 2 Ir 2.70
Ir 0.6503 0.1176 0.7500  5 Zr 2.70-2.85, 2 Ir 2.70
Ir 0.5326 0.6503 0.2500  5 Zr 2.70-2.85, 2 Ir 2.70
Ir 0.8824 0.5326 0.7500  5 Zr 2.70-2.85, 2 Ir 2.70
Ir 0.3497 0.8824 0.2500  5 Zr 2.70-2.85, 2 Ir 2.70
Ir 0.4674 0.3497 0.7500  5 Zr 2.70-2.85, 2 Ir 2.70